Here is Mn4BiPd15 after structural relaxation from Alexandria via LeMat-Bulk. Energies are from PBE.

Computed properties:
formation energy from the elements = -0.229 eV per atom
magnetic moment = 18.0 Bohr magnetons per cell
electronic total energy = -123.0 eV/f.u.
crystal system = tetragonal
space group = P4/mmm

The structure in POSCAR format:
```
Mn4BiPd15
1.0
-0.324 -1.679 3.589
-3.116 -2.117 -1.272
12.163 -14.492 -5.682
Mn Bi Pd
4 1 15
Cartesian
2.538 -3.024 -1.186
4.889 -5.826 -2.284
7.273 -8.666 -3.398
9.625 -11.468 -4.496
0.000 0.000 0.000
-1.720 -1.898 1.159
0.793 -4.893 -0.015
3.179 -7.735 -1.130
5.544 -10.553 -2.235
7.929 -13.395 -3.349
1.167 -2.423 1.174
3.548 -5.260 0.061
5.919 -8.086 -1.046
8.291 -10.911 -2.154
10.672 -13.748 -3.266
-0.229 -2.642 -1.257
2.152 -5.479 -2.369
4.523 -8.304 -3.477
6.895 -11.130 -4.585
9.276 -13.967 -5.697
```